1.
Below is an optimized crystal structure of LiLaTbDy, with properties calculated at the PBE level.

Values from the calculation:
The value obtained for the formation energy is 169 meV per atom. The value obtained for the total energy is -3.850 eV per atom. The value obtained for the size of the total moment is 0.00 Bohr magnetons per cell. Its theoretical density is 6.30 g/cm3.

a b c (Å): 5.584 5.584 5.584
angles (deg): 60.00 60.00 60.00
Atoms (fractional coordinates):
La1 0.250 0.250 0.250
Tb1 0.750 0.750 0.750
Li1 0.000 0.000 0.000
Dy1 0.500 0.500 0.500

=====

2.
Below is an optimized crystal structure of LiLaDyTc, with properties calculated at the PBE level.

Values from the calculation:
The value obtained for the formation energy is 27 meV per atom. The value obtained for the total energy is -5.425 eV per atom. The value obtained for the size of the total moment is 0.00 Bohr magnetons per cell. Its theoretical density is 7.48 g/cm3.

a b c (Å): 5.035 5.035 5.035
angles (deg): 60.00 60.00 60.00
Atoms (fractional coordinates):
La1 0.250 0.250 0.250
Li1 0.000 0.000 0.000
Tc1 0.500 0.500 0.500
Dy1 0.750 0.750 0.750

=====

3.
Below is an optimized crystal structure of Li2LaDyTe4, with properties calculated at the PBE level.

Values from the calculation:
The value obtained for the total energy is -4.565 eV per atom. The value obtained for the size of the total moment is 0.00 Bohr magnetons per cell. Its energy relative to the elements, uncorrected is -1.32 eV per atom. Its theoretical density is 5.65 g/cm3.

a b c (Å): 4.450 7.713 7.513
angles (deg): 109.92 90.00 90.00
Atoms (fractional coordinates):
Li1 0.500 0.000 0.500
Li2 0.000 0.500 0.500
La1 0.000 0.000 0.000
Dy1 0.500 0.500 0.000
Te1 0.500 0.264 0.262
Te2 0.500 0.736 0.738
Te3 0.000 0.258 0.743
Te4 0.000 0.742 0.257

=====

4.
Below is an optimized crystal structure of Li3LaDy2Te6, with properties calculated at the PBE level.

Values from the calculation:
The value obtained for the total energy is -4.542 eV per atom. The value obtained for the size of the total moment is 0.00 Bohr magnetons per cell. Its energy relative to the elements, uncorrected is -1.32 eV per atom. Its theoretical density is 5.80 g/cm3.

a b c (Å): 7.649 7.649 7.507
angles (deg): 99.78 99.78 120.01
Atoms (fractional coordinates):
Li1 0.166 0.834 0.500
Li2 0.834 0.166 0.500
Li3 0.500 0.500 0.500
La1 0.000 0.000 0.000
Dy1 0.333 0.667 0.000
Dy2 0.667 0.333 0.000
Te1 0.914 0.569 0.743
Te2 0.742 0.742 0.259
Te3 0.086 0.431 0.257
Te4 0.569 0.914 0.743
Te5 0.258 0.258 0.741
Te6 0.431 0.086 0.257

=====

5.
Below is an optimized crystal structure of LiLaDyTe3, with properties calculated at the PBE level.

Values from the calculation:
The value obtained for the total energy is -4.829 eV per atom. The value obtained for the size of the total moment is 0.00 Bohr magnetons per cell. Its energy relative to the elements, uncorrected is -1.35 eV per atom. Its theoretical density is 6.29 g/cm3.

a b c (Å): 4.331 9.036 9.608
angles (deg): 104.04 90.00 90.00
Atoms (fractional coordinates):
Li1 0.250 0.086 0.587
Li2 0.750 0.914 0.413
La1 0.250 0.189 0.233
La2 0.750 0.811 0.767
Dy1 0.250 0.669 0.156
Dy2 0.750 0.331 0.844
Te1 0.750 0.905 0.127
Te2 0.250 0.095 0.873
Te3 0.250 0.769 0.494
Te4 0.750 0.231 0.506
Te5 0.750 0.436 0.176
Te6 0.250 0.564 0.824

=====

6.
Below is an optimized crystal structure of LiLa2DyTe5, with properties calculated at the PBE level.

Values from the calculation:
The value obtained for the total energy is -4.993 eV per atom. The value obtained for the size of the total moment is 0.00 Bohr magnetons per cell. Its energy relative to the elements, uncorrected is -1.43 eV per atom. Its theoretical density is 6.41 g/cm3.

a b c (Å): 4.479 9.708 13.297
angles (deg): 90.00 90.00 103.34
Atoms (fractional coordinates):
Li1 0.558 0.116 0.962
Li2 0.442 0.884 0.462
La1 0.875 0.749 0.804
La2 0.107 0.213 0.685
La3 0.125 0.251 0.304
La4 0.893 0.787 0.185
Dy1 0.802 0.604 0.510
Dy2 0.198 0.396 0.010
Te1 0.361 0.722 0.999
Te2 0.690 0.380 0.848
Te3 0.498 0.997 0.780
Te4 0.285 0.569 0.667
Te5 0.953 0.905 0.568
Te6 0.639 0.278 0.499
Te7 0.310 0.620 0.348
Te8 0.502 0.003 0.280
Te9 0.715 0.431 0.167
Te10 0.047 0.095 0.068

=====

7.
Below is an optimized crystal structure of LiLaDy2Tl4, with properties calculated at the PBE level.

Values from the calculation:
The value obtained for the formation energy is -333 meV per atom. The value obtained for the total energy is -3.522 eV per atom. The value obtained for the size of the total moment is 0.00 Bohr magnetons per cell. Its theoretical density is 9.71 g/cm3.

a b c (Å): 5.293 5.293 9.579
angles (deg): 73.96 73.96 60.00
Atoms (fractional coordinates):
Li1 0.500 0.500 0.500
La1 0.000 0.000 0.000
Dy1 0.756 0.756 0.733
Dy2 0.244 0.244 0.267
Tl1 0.381 0.381 0.858
Tl2 0.871 0.871 0.386
Tl3 0.129 0.129 0.614
Tl4 0.619 0.619 0.142

=====

8.
Below is an optimized crystal structure of Li2La2DyTl5, with properties calculated at the PBE level.

Values from the calculation:
The value obtained for the formation energy is -336 meV per atom. The value obtained for the total energy is -3.348 eV per atom. The value obtained for the size of the total moment is 0.00 Bohr magnetons per cell. Its theoretical density is 9.42 g/cm3.

a b c (Å): 4.408 10.867 10.867
angles (deg): 90.00 90.00 90.00
Atoms (fractional coordinates):
Li1 0.000 0.118 0.618
Li2 0.000 0.882 0.382
Li3 0.000 0.618 0.882
Li4 0.000 0.382 0.118
La1 0.000 0.676 0.176
La2 0.000 0.324 0.824
La3 0.000 0.176 0.324
La4 0.000 0.824 0.676
Dy1 0.000 0.000 0.000
Dy2 0.000 0.500 0.500
Tl1 0.500 0.210 0.070
Tl2 0.500 0.790 0.930
Tl3 0.500 0.070 0.790
Tl4 0.500 0.710 0.430
Tl5 0.500 0.930 0.210
Tl6 0.500 0.290 0.570
Tl7 0.500 0.570 0.710
Tl8 0.500 0.430 0.290
Tl9 0.500 0.500 0.000
Tl10 0.500 0.000 0.500

=====

9.
Below is an optimized crystal structure of Li2LaDy2Tl2, with properties calculated at the PBE level.

Values from the calculation:
The value obtained for the formation energy is -203 meV per atom. The value obtained for the total energy is -3.444 eV per atom. The value obtained for the size of the total moment is 0.00 Bohr magnetons per cell. Its theoretical density is 7.78 g/cm3.

a b c (Å): 4.907 4.907 9.504
angles (deg): 75.04 75.04 60.00
Atoms (fractional coordinates):
Li1 0.591 0.591 0.228
Li2 0.409 0.409 0.772
La1 0.000 0.000 0.000
Dy1 0.129 0.129 0.613
Dy2 0.871 0.871 0.387
Tl1 0.743 0.743 0.771
Tl2 0.257 0.257 0.229

=====

10.
Below is an optimized crystal structure of Li2La2DyTl2, with properties calculated at the PBE level.

Values from the calculation:
The value obtained for the formation energy is -228 meV per atom. The value obtained for the total energy is -3.516 eV per atom. The value obtained for the size of the total moment is 0.00 Bohr magnetons per cell. Its theoretical density is 7.84 g/cm3.

a b c (Å): 4.850 4.850 9.404
angles (deg): 75.06 75.06 60.00
Atoms (fractional coordinates):
Li1 0.604 0.604 0.188
Li2 0.396 0.396 0.812
La1 0.135 0.135 0.594
La2 0.865 0.865 0.406
Dy1 0.000 0.000 0.000
Tl1 0.731 0.731 0.807
Tl2 0.269 0.269 0.193

=====

11.
Below is an optimized crystal structure of LiLaDyZn, with properties calculated at the PBE level.

Values from the calculation:
The value obtained for the formation energy is -117 meV per atom. The value obtained for the total energy is -3.296 eV per atom. The value obtained for the size of the total moment is 0.00 Bohr magnetons per cell. Its theoretical density is 5.98 g/cm3.

a b c (Å): 3.717 3.717 7.510
angles (deg): 90.00 90.00 90.00
Atoms (fractional coordinates):
Li1 0.000 0.000 0.876
La1 0.500 0.500 0.589
Dy1 0.500 0.500 0.127
Zn1 0.000 0.000 0.336

=====

12.
Below is an optimized crystal structure of LiLaDyZn, with properties calculated at the PBE level.

Values from the calculation:
The value obtained for the formation energy is -102 meV per atom. The value obtained for the total energy is -3.282 eV per atom. The value obtained for the size of the total moment is 0.00 Bohr magnetons per cell. Its theoretical density is 6.07 g/cm3.

a b c (Å): 5.250 5.250 5.250
angles (deg): 60.00 60.00 60.00
Atoms (fractional coordinates):
Zn1 0.000 0.000 0.000
La1 0.250 0.250 0.250
Li1 0.500 0.500 0.500
Dy1 0.750 0.750 0.750

=====

size of the total moment of number 8 (Li2La2DyTl5)? 0.00 Bohr magnetons per cell

=====

Which formula does entry 9 have? Li2LaDy2Tl2

=====

Copy entry 1 word for word.
Below is an optimized crystal structure of LiLaTbDy, with properties calculated at the PBE level.

Values from the calculation:
The value obtained for the formation energy is 169 meV per atom. The value obtained for the total energy is -3.850 eV per atom. The value obtained for the size of the total moment is 0.00 Bohr magnetons per cell. Its theoretical density is 6.30 g/cm3.

a b c (Å): 5.584 5.584 5.584
angles (deg): 60.00 60.00 60.00
Atoms (fractional coordinates):
La1 0.250 0.250 0.250
Tb1 0.750 0.750 0.750
Li1 0.000 0.000 0.000
Dy1 0.500 0.500 0.500